Crystalline In3SnAs at its relaxed geometry. Source: Alexandria via LeMat-Bulk, functional PBE.

Geometry as POSCAR:
```
In3SnAs
1.0
5.555 0.000 0.000
0.000 5.555 0.000
0.000 0.000 5.555
Sn In As
1 3 1
direct
0.000 0.000 0.000
0.000 0.000 0.500
0.500 0.000 0.000
0.000 0.500 0.000
0.500 0.500 0.500
```

Results
E_form ... 3.073 eV/f.u.
Relative energy among the computed polymorphs ... 282 meV/atom
SG ... No. 221
DOS at the Fermi energy ... 2.0 states/eV per cell

=====

Crystalline RbYP2O7 at its relaxed geometry. Source: Alexandria via LeMat-Bulk, functional PBE.

Geometry as POSCAR:
```
RbYP2O7
1.0
11.098 0.000 0.000
0.000 7.878 0.000
0.000 2.424 8.481
O Rb Y P
28 4 4 8
direct
0.931 0.676 0.797
0.769 0.552 0.232
0.269 0.448 0.268
0.069 0.324 0.203
0.227 0.076 0.253
0.890 0.668 0.516
0.727 0.924 0.247
0.390 0.332 0.984
0.996 0.995 0.719
0.731 0.552 0.732
0.496 0.005 0.781
0.924 0.385 0.735
0.231 0.448 0.768
0.004 0.005 0.281
0.610 0.668 0.016
0.576 0.385 0.235
0.593 0.857 0.490
0.504 0.995 0.219
0.076 0.615 0.265
0.773 0.924 0.747
0.407 0.143 0.510
0.110 0.332 0.484
0.569 0.676 0.297
0.424 0.615 0.765
0.273 0.076 0.753
0.093 0.143 0.010
0.431 0.324 0.703
0.907 0.857 0.990
0.322 0.812 0.066
0.178 0.812 0.566
0.678 0.188 0.934
0.822 0.188 0.434
0.098 0.235 0.749
0.402 0.235 0.249
0.598 0.765 0.751
0.902 0.765 0.251
0.135 0.434 0.313
0.100 0.128 0.185
0.365 0.434 0.813
0.635 0.566 0.187
0.400 0.128 0.685
0.865 0.566 0.687
0.600 0.872 0.315
0.900 0.872 0.815
```

Results
Formation energy from raw total energies ... -2859 kJ/mol of formula units
SG ... No. 14
DOS at the Fermi energy ... 0.0 states/eV per cell

=====

Crystalline ThIn2Se3 at its relaxed geometry. Source: Alexandria via LeMat-Bulk, functional PBE.

Geometry as POSCAR:
```
ThIn2Se3
1.0
7.445 0.054 -1.226
-3.947 6.313 -1.226
0.085 0.155 8.009
Se Th In
6 2 4
direct
0.780 0.742 0.225
0.887 0.591 0.775
0.036 0.370 0.208
0.409 0.113 0.225
0.630 0.964 0.792
0.258 0.220 0.775
0.665 0.335 0.000
0.002 0.998 0.000
0.489 0.511 0.500
0.177 0.823 0.500
0.333 0.667 0.000
0.833 0.167 0.500
```

Results
Formation energy from raw total energies ... -583 kJ/mol of formula units
SG ... No. 12

=====

Crystalline Hg3TeMo at its relaxed geometry. Source: Alexandria via LeMat-Bulk, functional PBE.

Geometry as POSCAR:
```
Hg3TeMo
1.0
5.466 0.000 0.000
0.000 5.466 0.000
0.000 0.000 5.466
Hg Mo Te
3 1 1
direct
0.000 0.000 0.500
0.500 0.000 0.000
0.000 0.500 0.000
0.000 0.000 0.000
0.500 0.500 0.500
```

Results
Formation energy from raw total energies ... 434 kJ/mol of formula units
Relative energy among the computed polymorphs ... 0 meV/atom
SG ... No. 221
DOS at the Fermi energy ... 5.4 states/eV per cell

=====

Crystalline PmDy5Sc5 at its relaxed geometry. Source: Alexandria via LeMat-Bulk, functional PBE.

Geometry as POSCAR:
```
PmDy5Sc5
1.0
-4.710 1.098 -3.191
-0.146 -4.139 4.052
-3.419 7.630 7.672
Dy Sc Pm
5 5 1
direct
0.667 0.333 0.839
0.333 0.667 0.677
0.000 0.000 0.000
0.333 0.667 0.323
0.667 0.333 0.161
0.329 0.164 0.500
0.000 0.000 0.730
0.836 0.671 0.500
0.000 0.000 0.270
0.836 0.164 0.500
0.333 0.667 0.000
```

Results
E_form ... 2.624 eV/f.u.
SG ... No. 187
DOS at the Fermi energy ... 22.1 states/eV per cell

=====

Crystalline ThReB2 at its relaxed geometry. Source: Alexandria via LeMat-Bulk, functional PBE.

Geometry as POSCAR:
```
ThReB2
1.0
3.789 0.000 0.000
1.894 3.281 0.000
1.894 1.094 4.821
Re Th B
1 1 2
direct
0.000 0.000 0.000
0.500 0.500 0.500
0.296 0.296 0.111
0.704 0.704 0.889
```

Results
E_form ... -0.288 eV/f.u.
SG ... No. 166
DOS at the Fermi energy ... 2.1 states/eV per cell

=====

Crystalline Cs4Cd3SnCl12 at its relaxed geometry. Source: Alexandria via LeMat-Bulk, functional PBE.

Geometry as POSCAR:
```
Cs4Cd3SnCl12
1.0
9.351 0.000 0.000
-3.117 8.816 0.000
-3.117 -4.408 7.635
Cl Cs Cd Sn
12 4 3 1
direct
0.250 0.750 0.500
0.743 0.000 0.743
0.500 0.250 0.750
0.000 0.257 0.257
0.750 0.500 0.250
0.000 0.743 0.743
0.250 0.500 0.750
0.257 0.257 0.000
0.750 0.250 0.500
0.743 0.743 0.000
0.500 0.750 0.250
0.257 0.000 0.257
0.500 0.000 0.000
0.500 0.500 0.500
0.000 0.000 0.500
0.000 0.500 0.000
0.500 0.000 0.500
0.000 0.500 0.500
0.500 0.500 0.000
0.000 0.000 0.000
```

Results
Formation energy from raw total energies ... -2842 kJ/mol of formula units
SG ... No. 229
DOS at the Fermi energy ... 0.0 states/eV per cell

=====

Crystalline CaSi3Pd4 at its relaxed geometry. Source: Alexandria via LeMat-Bulk, functional PBE.

Geometry as POSCAR:
```
CaSi3Pd4
1.0
4.145 0.000 0.000
0.000 4.145 0.000
0.000 0.000 7.852
Pd Si Ca
4 3 1
direct
0.500 0.000 0.818
0.000 0.500 0.818
0.500 0.000 0.182
0.000 0.500 0.182
0.000 0.000 0.000
0.500 0.500 0.652
0.500 0.500 0.348
0.000 0.000 0.500
```

Results
Formation energy from raw total energies ... -559 kJ/mol of formula units
SG ... No. 123
DOS at the Fermi energy ... 4.7 states/eV per cell

=====

Crystalline KBeIr2 at its relaxed geometry. Source: Alexandria via LeMat-Bulk, functional PBE.

Geometry as POSCAR:
```
KBeIr2
1.0
-0.534 -4.887 -1.261
3.435 -3.037 2.176
-3.154 3.589 1.711
K Be Ir
1 1 2
direct
0.250 0.750 0.500
0.750 0.250 0.500
0.500 0.500 0.000
0.000 0.000 0.000
```

Results
E_form ... 4.668 eV/f.u.
SG ... No. 139
DOS at the Fermi energy ... 5.1 states/eV per cell

=====

Crystalline AlGaSn2 at its relaxed geometry. Source: Alexandria via LeMat-Bulk, functional PBE.

Geometry as POSCAR:
```
AlGaSn2
1.0
-3.533 1.782 -2.219
1.600 -1.702 -3.915
-2.370 -3.832 0.697
Sn Ga Al
2 1 1
direct
0.000 0.500 0.000
0.000 0.000 0.500
0.500 0.500 0.500
0.500 0.000 0.000
```

Results
E_form ... 0.513 eV/f.u.
Relative energy among the computed polymorphs ... 16 meV/atom
SG ... No. 123
DOS at the Fermi energy ... 0.8 states/eV per cell

=====

Crystalline NaAl2SiO6 at its relaxed geometry. Source: Alexandria via LeMat-Bulk, functional PBE.

Geometry as POSCAR:
```
NaAl2SiO6
1.0
5.731 -0.019 -0.019
1.849 6.727 -0.789
1.849 -1.038 6.693
Al Na O Si
4 2 12 2
direct
0.854 0.558 0.734
0.646 0.266 0.442
0.146 0.442 0.266
0.354 0.734 0.558
0.750 0.103 0.897
0.250 0.897 0.103
0.078 0.653 0.576
0.218 0.957 0.770
0.015 0.657 0.189
0.282 0.230 0.043
0.782 0.043 0.230
0.922 0.347 0.424
0.578 0.576 0.653
0.718 0.770 0.957
0.485 0.811 0.343
0.515 0.189 0.657
0.985 0.343 0.811
0.422 0.424 0.347
0.750 0.813 0.187
0.250 0.187 0.813
```

Results
Formation energy from raw total energies ... -2469 kJ/mol of formula units
SG ... No. 15

=====

Crystalline TbThSn2 at its relaxed geometry. Source: Alexandria via LeMat-Bulk, functional PBE.

Geometry as POSCAR:
```
TbThSn2
1.0
4.481 0.000 0.000
0.000 4.975 0.000
0.000 0.000 4.975
Th Sn Tb
1 2 1
direct
0.500 0.000 0.000
0.000 0.000 0.500
0.000 0.500 0.000
0.500 0.500 0.500
```

Results
E_form ... -2.253 eV/f.u.
Relative energy among the computed polymorphs ... 69 meV/atom
SG ... No. 123
DOS at the Fermi energy ... 4.2 states/eV per cell

=====

Crystalline Cs4PtI2 at its relaxed geometry. Source: Alexandria via LeMat-Bulk, functional PBE.

Geometry as POSCAR:
```
Cs4PtI2
1.0
4.913 0.000 1.329
1.666 7.971 3.587
-0.085 0.021 10.060
Pt Cs I
1 4 2
direct
0.000 0.000 0.000
0.652 0.768 0.929
0.348 0.232 0.071
0.040 0.263 0.657
0.960 0.737 0.343
0.351 0.615 0.683
0.649 0.385 0.317
```

Results
Formation energy from raw total energies ... -594 kJ/mol of formula units
Relative energy among the computed polymorphs ... 0 meV/atom
SG ... No. 12
DOS at the Fermi energy ... 0.0 states/eV per cell

=====

Crystalline RbTe2RhN at its relaxed geometry. Source: Alexandria via LeMat-Bulk, functional PBE.

Geometry as POSCAR:
```
RbTe2RhN
1.0
-1.237 -3.858 -4.474
5.569 -2.286 0.432
-1.187 -2.433 2.426
Rb N Rh Te
1 1 1 2
direct
0.500 0.500 0.500
0.000 0.000 0.500
0.000 0.000 0.000
0.500 0.000 0.000
0.000 0.500 0.000
```

Results
Formation energy from raw total energies ... 34 kJ/mol of formula units
Relative energy among the computed polymorphs ... 0 meV/atom
SG ... No. 123
DOS at the Fermi energy ... 2.1 states/eV per cell

=====

Crystalline CdS3F at its relaxed geometry. Source: Alexandria via LeMat-Bulk, functional PBE.

Geometry as POSCAR:
```
CdS3F
1.0
-3.200 3.686 -1.388
-2.828 -3.395 -2.496
-2.741 -0.800 4.195
S F Cd
3 1 1
direct
0.500 0.000 0.000
0.000 0.000 0.500
0.000 0.500 0.000
0.500 0.500 0.500
0.000 0.000 0.000
```

Results
Formation energy from raw total energies ... 390 kJ/mol of formula units
Relative energy among the computed polymorphs ... 177 meV/atom
SG ... No. 221
DOS at the Fermi energy ... 3.9 states/eV per cell

=====

Crystalline GdScTiIn at its relaxed geometry. Source: Alexandria via LeMat-Bulk, functional PBE.

Geometry as POSCAR:
```
GdScTiIn
1.0
5.140 0.000 0.000
2.570 4.451 0.000
2.570 1.484 4.196
Gd In Sc Ti
1 1 1 1
direct
0.500 0.500 0.500
0.750 0.750 0.750
0.000 0.000 0.000
0.250 0.250 0.250
```

Results
E_form ... -0.410 eV/f.u.
SG ... No. 216
DOS at the Fermi energy ... 4.9 states/eV per cell

=====

Crystalline Na2InPb2 at its relaxed geometry. Source: Alexandria via LeMat-Bulk, functional PBE.

Geometry as POSCAR:
```
Na2InPb2
1.0
4.558 0.000 0.000
0.000 4.558 0.000
2.279 2.279 7.457
Na In Pb
2 1 2
direct
0.750 0.250 0.500
0.250 0.750 0.500
0.000 0.000 0.000
0.403 0.403 0.195
0.597 0.597 0.805
```

Results
E_form ... 0.353 eV/f.u.
Relative energy among the computed polymorphs ... 179 meV/atom
SG ... No. 139
DOS at the Fermi energy ... 1.8 states/eV per cell

=====

Crystalline Ba3YSn at its relaxed geometry. Source: Alexandria via LeMat-Bulk, functional PBE.

Geometry as POSCAR:
```
Ba3YSn
1.0
-3.480 4.892 -2.946
-2.695 -4.448 -4.203
-5.034 -1.000 4.286
Ba Sn Y
3 1 1
direct
0.000 0.500 0.000
0.000 0.000 0.500
0.500 0.000 0.000
0.000 0.000 0.000
0.500 0.500 0.500
```

Results
E_form ... 1.102 eV/f.u.
Relative energy among the computed polymorphs ... 0 meV/atom
SG ... No. 221
DOS at the Fermi energy ... 7.0 states/eV per cell

=====

Crystalline ZnCoNiRu at its relaxed geometry. Source: Alexandria via LeMat-Bulk, functional PBE.

Geometry as POSCAR:
```
ZnCoNiRu
1.0
4.149 0.000 0.000
2.075 3.593 0.000
2.075 1.198 3.388
Zn Co Ni Ru
1 1 1 1
direct
0.000 0.000 0.000
0.750 0.750 0.750
0.250 0.250 0.250
0.500 0.500 0.500
```

Results
E_form ... 0.470 eV/f.u.
SG ... No. 216
DOS at the Fermi energy ... 4.9 states/eV per cell

=====

Crystalline Sm2Y3Ag2 at its relaxed geometry. Source: Alexandria via LeMat-Bulk, functional PBE.

Geometry as POSCAR:
```
Sm2Y3Ag2
1.0
5.419 0.000 0.000
-2.709 4.676 -0.362
0.000 -2.524 8.005
Y Sm Ag
3 2 2
direct
0.338 0.677 0.515
0.662 0.323 0.485
0.500 0.000 0.000
0.076 0.152 0.727
0.924 0.848 0.273
0.789 0.577 0.863
0.211 0.423 0.137
```

Results
E_form ... -0.702 eV/f.u.
SG ... No. 12
DOS at the Fermi energy ... 6.9 states/eV per cell

=====

Number 1: total DFT energy (no corrections) -13.795 eV per cell, calculated volume 34.3 Å³/atom. Number 2: total DFT energy (no corrections) -330.372 eV per cell, calculated volume 16.9 Å³/atom. Number 3: total DFT energy (no corrections) -58.794 eV per cell, calculated volume 31.7 Å³/atom. Number 4: total DFT energy (no corrections) -10.375 eV per cell, calculated volume 32.7 Å³/atom. Number 5: total DFT energy (no corrections) -56.795 eV per cell, calculated volume 30.0 Å³/atom. Number 6: total DFT energy (no corrections) -33.511 eV per cell, calculated volume 15.0 Å³/atom. Number 7: total DFT energy (no corrections) -61.777 eV per cell, calculated volume 31.5 Å³/atom. Number 8: total DFT energy (no corrections) -44.836 eV per cell, calculated volume 16.9 Å³/atom. Number 9: total DFT energy (no corrections) -17.877 eV per cell, calculated volume 16.4 Å³/atom. Number 10: total DFT energy (no corrections) -14.262 eV per cell, calculated volume 23.6 Å³/atom. Number 11: total DFT energy (no corrections) -139.130 eV per cell, calculated volume 12.7 Å³/atom. Number 12: total DFT energy (no corrections) -22.309 eV per cell, calculated volume 27.7 Å³/atom. Number 13: total DFT energy (no corrections) -18.709 eV per cell, calculated volume 56.4 Å³/atom. Number 14: total DFT energy (no corrections) -22.576 eV per cell, calculated volume 26.5 Å³/atom. Number 15: total DFT energy (no corrections) -11.124 eV per cell, calculated volume 26.1 Å³/atom. Number 16: total DFT energy (no corrections) -31.456 eV per cell, calculated volume 24.0 Å³/atom. Number 17: total DFT energy (no corrections) -12.441 eV per cell, calculated volume 31.0 Å³/atom. Number 18: total DFT energy (no corrections) -15.133 eV per cell, calculated volume 59.8 Å³/atom. Number 19: total DFT energy (no corrections) -22.967 eV per cell, calculated volume 12.6 Å³/atom. Number 20: total DFT energy (no corrections) -35.235 eV per cell, calculated volume 28.3 Å³/atom.